Below is a relaxed RbNp2Au2S6 crystal, with properties calculated at the PBE-GGA level.

Unit cell a=7.1645 b=7.6228 c=7.9575 alpha=123.06 beta=88.83 gamma=63.28
Fractional coordinates of all 11 atoms:
S 0.1636 0.8434 0.5671
S 0.5732 0.2275 0.9484
S 0.8364 0.1566 0.4329
S 0.4268 0.7725 0.0516
S 0.9680 0.4426 0.1650
S 0.0320 0.5574 0.8350
Np 0.1663 0.6616 0.1642
Np 0.8337 0.3384 0.8358
Au 0.2413 0.7507 0.8043
Au 0.7587 0.2493 0.1957
Rb 0.5000 0.0000 0.5000

Properties
- space group = P-1 (2)
- formation energy from raw total energies (eV/f.u.) = -9.2
- raw total energy (hartree per atom) = -0.2249
- total magnetization (μB/f.u.) = 5.00
- density (g/cm3) = 6.26